Below is crystalline Li3S at its relaxed geometry, with properties calculated at the PBE level.

```
Li3S
1.0
-1.252 0.749 -3.470
0.817 -3.520 -1.055
-3.454 -1.104 1.008
Li S
3 1
direct
0.500 0.000 0.500
0.500 0.500 0.000
0.000 0.500 0.500
0.000 0.000 0.000
```

Calculated values
Space group: Pm-3m
Calculated volume: 53.3 Å³ per cell
Density: 1.65 g/cm³
Raw formation energy: -0.781 eV per atom
Total DFT energy (no corrections): -3.25 eV/atom

---

Below is crystalline Li2S at its relaxed geometry, with properties calculated at the PBE level.

```
Li2S
1.0
-3.767 -1.116 0.121
2.801 -2.383 1.388
-0.669 2.960 6.432
Li S
4 2
direct
0.333 0.667 0.908
0.667 0.333 0.408
0.667 0.333 0.092
0.333 0.667 0.592
0.667 0.333 0.750
0.333 0.667 0.250
```

Calculated values
Space group: P6_3/mmc
Offset from the most stable computed form: 50.7 kJ/mol of formula units
Calculated volume: 95.2 Å³ per cell
Density: 1.60 g/cm³
Raw formation energy: -1.161 eV per atom
Total DFT energy (no corrections): -3.81 eV/atom

---

Below is crystalline Li2S at its relaxed geometry, with properties calculated at the PBE level.

```
Li2S
1.0
3.997 -0.001 0.001
1.999 3.462 0.001
21.993 12.696 36.888
S Li
11 22
direct
0.995 0.995 0.547
0.002 0.002 0.817
0.994 0.994 0.092
0.989 0.989 0.367
0.987 0.987 0.185
0.993 0.993 0.457
0.998 0.998 0.000
0.999 0.999 0.727
0.997 0.997 0.637
0.989 0.989 0.276
0.005 0.005 0.907
0.538 0.538 0.217
0.761 0.761 0.064
0.759 0.759 0.156
0.739 0.739 0.253
0.232 0.232 0.301
0.244 0.244 0.570
0.750 0.750 0.795
0.251 0.251 0.840
0.245 0.245 0.660
0.747 0.747 0.705
0.739 0.739 0.344
0.248 0.248 0.750
0.746 0.746 0.615
0.247 0.247 0.932
0.241 0.241 0.480
0.535 0.535 0.127
0.744 0.744 0.525
0.539 0.539 0.034
0.741 0.741 0.435
0.752 0.752 0.885
0.767 0.767 0.972
0.238 0.238 0.390
```

Calculated values
Space group: Cm
Offset from the most stable computed form: 21.5 kJ/mol of formula units
Calculated volume: 510.4 Å³ per cell
Density: 1.64 g/cm³
Raw formation energy: -1.261 eV per atom
Total DFT energy (no corrections): -3.91 eV/atom

---

Below is crystalline LiS8 at its relaxed geometry, with properties calculated at the PBE level.

```
LiS8
1.0
-2.414 3.634 7.410
-0.691 -3.365 6.414
4.403 3.022 4.942
S Li
8 1
direct
0.222 0.556 0.000
0.778 0.000 0.444
0.624 0.376 0.376
0.000 0.624 0.376
0.000 0.376 0.624
0.376 0.624 0.624
0.222 0.000 0.556
0.778 0.444 0.000
0.000 0.000 0.000
```

Calculated values
Space group: I4/mmm
Calculated volume: 296.3 Å³ per cell
Density: 1.48 g/cm³
Raw formation energy: 0.249 eV per atom
Total DFT energy (no corrections): -3.63 eV/atom

---

Below is crystalline LiS4 at its relaxed geometry, with properties calculated at the PBE level.

```
LiS4
1.0
4.450 0.599 0.624
-1.768 3.065 -0.508
1.216 -0.083 7.684
S Li
4 1
direct
0.584 0.374 0.161
0.416 0.626 0.839
0.282 0.441 0.600
0.718 0.559 0.400
0.000 0.000 0.000
```

Calculated values
Space group: P-1
Offset from the most stable computed form: 0.0 kJ/mol of formula units
Calculated volume: 110.2 Å³ per cell
Density: 2.04 g/cm³
Raw formation energy: -0.271 eV per atom
Total DFT energy (no corrections): -3.96 eV/atom

---

Below is crystalline Li2S13 at its relaxed geometry, with properties calculated at the PBE level.

```
Li2S13
1.0
12.419 4.844 2.909
7.202 9.110 3.245
1.152 1.558 6.035
S Li
13 2
direct
0.963 0.371 0.308
0.435 0.900 0.321
0.565 0.100 0.679
0.037 0.629 0.692
0.421 0.731 0.608
0.579 0.269 0.392
0.244 0.566 0.147
0.500 0.500 0.500
0.212 0.415 0.420
0.788 0.585 0.580
0.016 0.842 0.479
0.984 0.158 0.521
0.756 0.434 0.853
0.327 0.468 0.780
0.673 0.532 0.220
```

Calculated values
Space group: P-1
Calculated volume: 429.7 Å³ per cell
Density: 1.66 g/cm³
Raw formation energy: -0.093 eV per atom
Total DFT energy (no corrections): -3.93 eV/atom